Computed, not measured: crystalline Na4Tm3HfTe8 at its relaxed geometry at the GGA-PBE level of DFT.

a = 9.082 Å, b = 9.082 Å, c = 9.082 Å
α = 56.65°, β = 56.65°, γ = 56.65°
Sites, in units of the cell vectors:
Na1 0.000 0.000 0.000
Na2 0.000 0.500 0.500
Na3 0.500 0.000 0.500
Na4 0.500 0.500 0.000
Tm1 0.000 0.000 0.500
Tm2 0.000 0.500 0.000
Tm3 0.500 0.000 0.000
Hf1 0.500 0.500 0.500
Te1 0.244 0.244 0.244
Te2 0.253 0.737 0.737
Te3 0.263 0.263 0.747
Te4 0.263 0.747 0.263
Te5 0.737 0.253 0.737
Te6 0.737 0.737 0.253
Te7 0.747 0.263 0.263
Te8 0.756 0.756 0.756

Output
space group	R-3m
M_tot	0.000	Bohr magnetons per cell
V	30.54	A^3/atom
formation energy (no corrections)	-1.16	eV/atom

---

Computed, not measured: crystalline Al2IrPb at its relaxed geometry at the GGA-PBE level of DFT.

a = 3.694 Å, b = 4.269 Å, c = 5.331 Å
α = 90.00°, β = 110.17°, γ = 90.00°
Sites, in units of the cell vectors:
Al1 0.000 0.000 0.000
Al2 0.442 0.500 0.885
Ir1 0.120 0.500 0.241
Pb1 0.730 0.000 0.463

Output
space group	Pm
M_tot	0.000	Bohr magnetons per cell
calculated formation energy	-83.8	meV/atom
V	19.73	A^3/atom

---

Copy entry 1 word for word.
Computed, not measured: crystalline Na4Tm3HfTe8 at its relaxed geometry at the GGA-PBE level of DFT.

a = 9.082 Å, b = 9.082 Å, c = 9.082 Å
α = 56.65°, β = 56.65°, γ = 56.65°
Sites, in units of the cell vectors:
Na1 0.000 0.000 0.000
Na2 0.000 0.500 0.500
Na3 0.500 0.000 0.500
Na4 0.500 0.500 0.000
Tm1 0.000 0.000 0.500
Tm2 0.000 0.500 0.000
Tm3 0.500 0.000 0.000
Hf1 0.500 0.500 0.500
Te1 0.244 0.244 0.244
Te2 0.253 0.737 0.737
Te3 0.263 0.263 0.747
Te4 0.263 0.747 0.263
Te5 0.737 0.253 0.737
Te6 0.737 0.737 0.253
Te7 0.747 0.263 0.263
Te8 0.756 0.756 0.756

Output
space group	R-3m
M_tot	0.000	Bohr magnetons per cell
V	30.54	A^3/atom
formation energy (no corrections)	-1.16	eV/atom

---

- What is the formula in the first record?
  Na4Tm3HfTe8

---

- The lowest V belongs to which entry?
  Al2IrPb